(1)
BaGaCo after structural relaxation, computed with PBE.

Cell and atoms, written as CIF:
```
data_BaGaCo
_space_group_name_H-M_alt 'P 1 21/m 1'
_space_group_IT_number 11
_space_group_name_Hall '-P 2yb'
_cell_length_a 4.1790
_cell_length_b 4.7573
_cell_length_c 9.2569
_cell_angle_alpha 90.00
_cell_angle_beta 102.84
_cell_angle_gamma 90.00
loop_
_atom_site_label
_atom_site_type_symbol
_atom_site_fract_x
_atom_site_fract_y
_atom_site_fract_z
Ba1 Ba 0.1462 0.2500 0.2933
Ga1 Ga 0.4649 0.2500 0.9290
Co1 Co 0.0000 0.0000 0.0000
```

Properties
Formation enthalpy at 0 K ... -124 meV per atom
Uncorrected energy ... -4.1429 eV per atom


(2)
BaZrTi3 after structural relaxation, computed with PBE.

Cell and atoms, written as CIF:
```
data_BaZrTi3
_space_group_name_H-M_alt 'P m -3 m'
_space_group_IT_number 221
_space_group_name_Hall '-P 4 2 3'
_cell_length_a 5.1474
_cell_length_b 5.1474
_cell_length_c 5.1474
_cell_angle_alpha 90.00
_cell_angle_beta 90.00
_cell_angle_gamma 90.00
loop_
_atom_site_label
_atom_site_type_symbol
_atom_site_fract_x
_atom_site_fract_y
_atom_site_fract_z
Ba1 Ba 0.0000 0.0000 0.0000
Zr1 Zr 0.5000 0.5000 0.5000
Ti1 Ti 0.0000 0.5000 0.5000
```

Properties
Formation enthalpy at 0 K ... 947 meV per atom
Uncorrected energy ... -5.8840 eV per atom


(3)
LiHf2Al after structural relaxation, computed with PBE.

Cell and atoms, written as CIF:
```
data_LiHf2Al
_space_group_name_H-M_alt 'P 4/m m m'
_space_group_IT_number 123
_space_group_name_Hall '-P 4 2'
_cell_length_a 4.6363
_cell_length_b 4.6363
_cell_length_c 3.4451
_cell_angle_alpha 90.00
_cell_angle_beta 90.00
_cell_angle_gamma 90.00
loop_
_atom_site_label
_atom_site_type_symbol
_atom_site_fract_x
_atom_site_fract_y
_atom_site_fract_z
Li1 Li 0.0000 0.0000 0.0000
Hf1 Hf 0.0000 0.5000 0.5000
Al1 Al 0.5000 0.5000 0.0000
```

Properties
Formation enthalpy at 0 K ... -37 meV per atom
Uncorrected energy ... -6.4276 eV per atom


Here are the calculated volume numbers, same order: 90 136 74 (Å³/f.u.).